Entry 1:
TlRe2Os, single point on PBEsol structure, DFT SCAN; DOS at the Fermi energy = 4.17 states/eV/cell; theoretical density = 19.20 g/cm3; energy = -70.642 eV/atom
1.0
-1.395 2.339 5.082
1.395 -2.339 5.082
1.395 2.339 -5.082
Tl Re Os
1 2 1
Direct
0.000 0.000 0.000
0.479 0.479 0.000
0.706 0.206 0.500
0.267 0.767 0.500


Entry 2:
TlSb2N, single point on PBEsol structure, DFT SCAN; energy relative to the elements, uncorrected = 2.39 eV per formula unit; DOS at the Fermi energy = 1.93 states/eV/cell; theoretical density = 7.45 g/cm3
1.0
-2.782 2.782 6.653
2.782 -2.782 6.653
2.782 2.782 -6.653
Tl Sb N
2 4 2
Direct
0.000 0.000 0.000
0.750 0.250 0.500
0.261 0.625 0.136
0.375 0.511 0.636
0.489 0.125 0.864
0.875 0.739 0.364
0.250 0.750 0.500
0.500 0.500 0.000


Entry 3:
SrPrFe2O6, single point on PBEsol structure, DFT SCAN; energy relative to the elements, uncorrected = -25.18 eV per formula unit; DOS at the Fermi energy = 5.54 states/eV/cell; theoretical density = 6.65 g/cm3
1.0
7.569 0.000 0.000
0.000 5.344 0.000
0.000 0.000 5.388
Sr Pr Fe O
2 2 4 12
Direct
0.000 0.249 0.000
0.500 0.751 0.500
0.000 0.748 0.504
0.500 0.252 0.004
0.250 0.250 0.500
0.250 0.750 0.000
0.750 0.250 0.500
0.750 0.750 0.000
0.000 0.251 0.467
0.000 0.750 0.049
0.228 0.994 0.743
0.229 0.503 0.747
0.271 0.497 0.247
0.272 0.006 0.243
0.500 0.250 0.549
0.500 0.749 0.967
0.728 0.006 0.243
0.729 0.497 0.247
0.771 0.503 0.747
0.772 0.994 0.743


Entry 4:
CsSn2Sb2, single point on PBEsol structure, DFT SCAN; energy relative to the elements, uncorrected = -0.90 eV per formula unit; DOS at the Fermi energy = 2.67 states/eV/cell; theoretical density = 5.96 g/cm3
1.0
-2.772 2.772 5.567
2.772 -2.772 5.567
2.772 2.772 -5.567
Cs Sn Sb
1 2 2
Direct
0.000 0.000 0.000
0.359 0.359 0.000
0.641 0.641 0.000
0.250 0.750 0.500
0.750 0.250 0.500


Entry 5:
NaCo2H3S2O10, single point on PBEsol structure, DFT SCAN; theoretical density = 3.53 g/cm3; energy = -8.763 eV/atom
1.0
4.375 -2.996 0.000
4.375 2.996 0.000
-3.221 0.000 6.612
Na Co H S O
1 2 3 2 10
Direct
0.000 0.000 0.000
0.021 0.486 0.505
0.486 0.021 0.505
0.191 0.191 0.748
0.802 0.802 0.267
0.987 0.987 0.502
0.413 0.413 0.208
0.596 0.596 0.800
0.148 0.148 0.598
0.282 0.282 0.000
0.283 0.689 0.756
0.315 0.725 0.252
0.322 0.322 0.343
0.687 0.687 0.666
0.689 0.283 0.756
0.724 0.724 0.010
0.725 0.315 0.252
0.842 0.842 0.417


Entry 6:
ZrAlRh, single point on PBEsol structure, DFT SCAN; DOS at the Fermi energy = 8.40 states/eV/cell; theoretical density = 7.46 g/cm3; energy = -24.986 eV/atom
1.0
8.165 0.000 0.000
0.000 2.655 4.540
0.000 -2.655 4.540
Zr Al Rh
4 4 4
Direct
0.176 0.000 0.000
0.291 0.665 0.665
0.709 0.665 0.665
0.824 0.000 0.000
0.244 0.325 0.325
0.500 0.163 0.678
0.500 0.678 0.163
0.756 0.325 0.325
0.000 0.497 0.497
0.000 0.500 0.992
0.000 0.992 0.500
0.500 0.163 0.163


> Which value of theoretical density does entry 5 give?

3.53 g/cm3